Entry 1:
Density functional theory data (GGA-PBE) for a geometry-optimized Sn2SeF structure.

POSCAR file:
```
Sn2SeF
1.0
3.010 0.453 3.969
3.468 3.602 0.110
-0.526 3.884 3.107
Sn F Se
2 1 1
direct
0.250 0.250 0.250
0.750 0.750 0.750
0.000 0.000 0.000
0.500 0.500 0.500
```

Values from the calculation:
formation energy from raw total energies: -0.691 eV per atom
SG: No. 225

Entry 2:
Density functional theory data (GGA-PBE) for a geometry-optimized La4PbSe2S structure.

POSCAR file:
```
La4PbSe2S
1.0
8.777 0.002 -0.066
-0.004 8.777 -0.066
-4.393 -4.396 6.272
S La Se Pb
2 8 4 2
direct
0.500 0.500 0.500
0.000 0.000 0.000
0.746 0.754 0.509
0.745 0.755 0.991
0.256 0.765 0.010
0.735 0.244 0.490
0.254 0.245 0.009
0.255 0.245 0.491
0.744 0.235 0.990
0.265 0.756 0.510
0.500 0.000 0.000
0.500 0.000 0.500
0.500 0.500 0.000
0.000 0.000 0.500
0.000 0.500 0.000
0.000 0.500 0.500
```

Values from the calculation:
formation energy from raw total energies: -1.651 eV per atom
SG: No. 74

Entry 3:
Density functional theory data (GGA-PBE) for a geometry-optimized TiMn2Mo structure.

POSCAR file:
```
TiMn2Mo
1.0
-1.919 -0.653 -2.184
1.882 -2.065 -1.036
-2.573 -4.095 3.486
Mn Ti Mo
2 1 1
direct
0.000 0.000 0.253
0.000 0.000 0.747
0.500 0.500 0.000
0.500 0.500 0.500
```

Values from the calculation:
SG: No. 123
formation energy: -176 meV per atom

Ordered calculated total energy results: -4.032 -5.966 -9.442; unit eV/atom.